Record 1
The following is a PBE calculation of an optimized crystal structure of ThGa8Rh2, from Alexandria.

a = 5.765 Å, b = 5.765 Å, c = 7.678 Å
α = 90.00°, β = 90.00°, γ = 90.00°
Fractional positions:
Rh: 0.000 0.500 0.000
Rh: 0.500 0.000 0.000
Ga: 0.243 0.243 0.202
Ga: 0.243 0.757 0.202
Ga: 0.757 0.243 0.202
Ga: 0.757 0.757 0.798
Ga: 0.757 0.243 0.798
Ga: 0.243 0.757 0.798
Ga: 0.757 0.757 0.202
Ga: 0.243 0.243 0.798
Th: 0.500 0.500 0.500

Values from the calculation:
Calculated volume = 23.2 Å³/atom

***

Record 2
The following is a PBE calculation of an optimized crystal structure of Th4Ga6Rh7, from Alexandria.

a = 7.466 Å, b = 7.466 Å, c = 7.466 Å
α = 109.47°, β = 109.47°, γ = 109.47°
Fractional positions:
Rh: 0.000 0.000 0.000
Rh: 0.500 0.250 0.750
Rh: 0.250 0.500 0.750
Rh: 0.750 0.500 0.250
Rh: 0.500 0.750 0.250
Rh: 0.750 0.250 0.500
Rh: 0.250 0.750 0.500
Ga: 0.675 0.675 0.000
Ga: 0.675 0.000 0.675
Ga: 0.000 0.675 0.675
Ga: 0.325 0.325 0.000
Ga: 0.325 0.000 0.325
Ga: 0.000 0.325 0.325
Th: 0.000 0.500 0.000
Th: 0.000 0.000 0.500
Th: 0.500 0.500 0.500
Th: 0.500 0.000 0.000

Values from the calculation:
Calculated volume = 18.8 Å³/atom

***

Record 3
The following is a PBE calculation of an optimized crystal structure of Th3Ga3Rh2, from Alexandria.

a = 5.584 Å, b = 8.155 Å, c = 15.467 Å
α = 90.00°, β = 90.00°, γ = 90.00°
Fractional positions:
Th: 0.881 0.536 0.610
Th: 0.881 0.536 0.890
Th: 0.876 0.824 0.250
Th: 0.381 0.964 0.110
Th: 0.619 0.036 0.610
Th: 0.119 0.464 0.110
Th: 0.381 0.964 0.390
Th: 0.119 0.464 0.390
Th: 0.619 0.036 0.890
Th: 0.124 0.176 0.750
Th: 0.376 0.676 0.750
Th: 0.624 0.324 0.250
Rh: 0.638 0.595 0.388
Rh: 0.138 0.905 0.888
Rh: 0.638 0.595 0.112
Rh: 0.138 0.905 0.612
Rh: 0.862 0.095 0.388
Rh: 0.362 0.405 0.888
Rh: 0.862 0.095 0.112
Rh: 0.362 0.405 0.612
Ga: 0.394 0.686 0.968
Ga: 0.894 0.814 0.032
Ga: 0.894 0.814 0.468
Ga: 0.106 0.186 0.968
Ga: 0.623 0.324 0.750
Ga: 0.123 0.176 0.250
Ga: 0.606 0.314 0.032
Ga: 0.877 0.824 0.750
Ga: 0.394 0.686 0.532
Ga: 0.106 0.186 0.532
Ga: 0.606 0.314 0.468
Ga: 0.377 0.676 0.250

Values from the calculation:
Calculated volume = 22.0 Å³/atom

***

Asked for E across the records above, the calculation gives -4.285, -6.682, -6.493 eV per atom in order.
Asked for magnetic moment across the records above, the calculation gives 0.00, 0.00, 0.00 μB/f.u. in order.